VASP calculation (PBE) on a geometry-optimized NaNdSi structure.

The value obtained for the total DFT energy (no corrections) is -3.644 eV/atom. As for the space-group type: F-43m, No. 216. The total magnetization comes out at 0.001 μB/cell. The density comes out at 3.79 Mg/m³.

a b c (Å): 6.996 6.996 6.996
angles (deg): 90.00 90.00 90.00
Positions (direct):
Na  0.000  0.000  0.000
Na  0.000  0.500  0.500
Na  0.500  0.000  0.500
Na  0.500  0.500  0.000
Nd  0.250  0.250  0.250
Nd  0.250  0.750  0.750
Nd  0.750  0.250  0.750
Nd  0.750  0.750  0.250
Si  0.000  0.000  0.500
Si  0.000  0.500  0.000
Si  0.500  0.000  0.000
Si  0.500  0.500  0.500

VASP calculation (PBE) on a geometry-optimized NaNdSn structure.

The value obtained for the total DFT energy (no corrections) is -3.706 eV/atom. As for the space-group type: F-43m, No. 216. The total magnetization comes out at 0.004 μB/cell. The density comes out at 4.67 Mg/m³.

a b c (Å): 7.408 7.408 7.408
angles (deg): 90.00 90.00 90.00
Positions (direct):
Na  0.000  0.000  0.000
Na  0.000  0.500  0.500
Na  0.500  0.000  0.500
Na  0.500  0.500  0.000
Nd  0.000  0.000  0.500
Nd  0.000  0.500  0.000
Nd  0.500  0.000  0.000
Nd  0.500  0.500  0.500
Sn  0.250  0.250  0.250
Sn  0.250  0.750  0.750
Sn  0.750  0.250  0.750
Sn  0.750  0.750  0.250

VASP calculation (PBE) on a geometry-optimized NaNdSn structure.

The value obtained for the total DFT energy (no corrections) is -3.385 eV/atom. As for the space-group type: F-43m, No. 216. The total magnetization comes out at 0.001 μB/cell. The density comes out at 4.68 Mg/m³.

a b c (Å): 7.404 7.404 7.404
angles (deg): 90.00 90.00 90.00
Positions (direct):
Na  0.000  0.000  0.000
Na  0.000  0.500  0.500
Na  0.500  0.000  0.500
Na  0.500  0.500  0.000
Nd  0.250  0.250  0.250
Nd  0.250  0.750  0.750
Nd  0.750  0.250  0.750
Nd  0.750  0.750  0.250
Sn  0.000  0.000  0.500
Sn  0.000  0.500  0.000
Sn  0.500  0.000  0.000
Sn  0.500  0.500  0.500

VASP calculation (PBE) on a geometry-optimized NaSrNd structure.

The value obtained for the total DFT energy (no corrections) is -1.985 eV/atom. As for the space-group type: F-43m, No. 216. The total magnetization comes out at 3.398 μB/cell. The density comes out at 3.18 Mg/m³.

a b c (Å): 8.103 8.103 8.103
angles (deg): 90.00 90.00 90.00
Positions (direct):
Na  0.000  0.000  0.000
Na  0.000  0.500  0.500
Na  0.500  0.000  0.500
Na  0.500  0.500  0.000
Sr  0.250  0.250  0.250
Sr  0.250  0.750  0.750
Sr  0.750  0.250  0.750
Sr  0.750  0.750  0.250
Nd  0.250  0.250  0.750
Nd  0.250  0.750  0.250
Nd  0.750  0.250  0.250
Nd  0.750  0.750  0.750

VASP calculation (PBE) on a geometry-optimized NaTbNd structure.

The value obtained for the total DFT energy (no corrections) is -2.797 eV/atom. As for the space-group type: F-43m, No. 216. The total magnetization comes out at 8.412 μB/cell. The density comes out at 4.93 Mg/m³.

a b c (Å): 7.603 7.603 7.603
angles (deg): 90.00 90.00 90.00
Positions (direct):
Na  0.000  0.000  0.000
Na  0.000  0.500  0.500
Na  0.500  0.000  0.500
Na  0.500  0.500  0.000
Tb  0.250  0.250  0.250
Tb  0.250  0.750  0.750
Tb  0.750  0.250  0.750
Tb  0.750  0.750  0.250
Nd  0.250  0.250  0.750
Nd  0.250  0.750  0.250
Nd  0.750  0.250  0.250
Nd  0.750  0.750  0.750

VASP calculation (PBE) on a geometry-optimized NaNd5Te6 structure.

The value obtained for the total DFT energy (no corrections) is -5.071 eV/atom. As for the space-group type: C2/m, No. 12. The total magnetization comes out at 0.003 μB/cell. The density comes out at 6.49 Mg/m³.

a b c (Å): 7.779 7.779 7.814
angles (deg): 99.58 99.58 120.02
Positions (direct):
Na  0.000  0.000  0.000
Nd  0.166  0.834  0.500
Nd  0.335  0.665  0.000
Nd  0.500  0.500  0.500
Nd  0.665  0.335  0.000
Nd  0.834  0.166  0.500
Te  0.082  0.412  0.249
Te  0.246  0.246  0.755
Te  0.412  0.082  0.249
Te  0.588  0.918  0.751
Te  0.754  0.754  0.245
Te  0.918  0.588  0.751

Which of these has the highest density?
NaNd5Te6